The following is a PBE-GGA calculation of an optimized crystal structure of LaEr2Ga6, from the Alexandria database.

a b c (Å): 7.7586 7.7586 7.7586
angles (deg): 147.38 124.68 65.72
With the nearest neighbours (Å) after each atom.
Fractional positions:
La 0.0000 0.0000 0.0000  12 Ga 3.18-3.56
Er 0.3740 0.8740 0.5000  6 Ga 2.83-3.02
Er 0.6260 0.1260 0.5000  6 Ga 2.83-3.02
Ga 0.0121 0.3139 0.6983  4 Ga 2.58-2.86, 1 Er 2.83
Ga 0.3216 0.5000 0.8216  3 Ga 2.57-2.58
Ga 0.3844 0.6861 0.6983  4 Ga 2.58-2.86, 1 Er 2.83
Ga 0.6156 0.3139 0.3017  4 Ga 2.58-2.86, 1 Er 2.83
Ga 0.6784 0.5000 0.1784  3 Ga 2.57-2.58
Ga 0.9879 0.6861 0.3017  4 Ga 2.58-2.86, 1 Er 2.83

Properties
The offset from the most stable computed form is 11.2 kJ/mol of atoms. Its space group is No. 71. For the formation energy, the calculation gives -441 kJ/mol of formula units. As for the density of states at the Fermi level: 3.7 states/eV per cell. The calculation puts the volume at 22.7 Å³ per atom.

---

The following is a PBE-GGA calculation of an optimized crystal structure of FeAgOs2, from the Alexandria database.

a b c (Å): 2.7565 3.8408 5.5816
angles (deg): 90.00 90.00 90.00
With the nearest neighbours (Å) after each atom.
Fractional positions:
Fe 0.0000 0.0000 0.0000  5 Os 2.52-2.74, 4 Ag 2.75, 2 Fe 2.76
Ag 0.5000 0.5000 0.7492  4 Fe 2.75, 2 Ag 2.76, 6 Os 2.79-2.89
Os 0.0000 0.0000 0.4514  1 Fe 2.52, 6 Os 2.62-2.76
Os 0.5000 0.5000 0.2499  6 Os 2.62-2.76, 4 Fe 2.74, 2 Ag 2.79

Properties
The offset from the most stable computed form is 6.1 kJ/mol of atoms. Its space group is No. 25. For the formation energy, the calculation gives 159 kJ/mol of formula units. As for the density of states at the Fermi level: 3.1 states/eV per cell. The calculation puts the volume at 14.8 Å³ per atom.

---

The following is a PBE-GGA calculation of an optimized crystal structure of YPu2Tl9, from the Alexandria database.

a b c (Å): 4.7786 4.7786 14.3537
angles (deg): 90.00 90.00 90.00
With the nearest neighbours (Å) after each atom.
Fractional positions:
Y 0.0000 0.0000 0.0000  12 Tl 3.38
Pu 0.0000 0.0000 0.3312  12 Tl 3.36-3.40
Pu 0.0000 0.0000 0.6688  12 Tl 3.36-3.40
Tl 0.0000 0.5000 0.1661  2 Pu 3.36, 8 Tl 3.38-3.40, 2 Y 3.38
Tl 0.0000 0.5000 0.5000  8 Tl 3.36-3.38, 4 Pu 3.40
Tl 0.0000 0.5000 0.8339  2 Pu 3.36, 8 Tl 3.38-3.40, 2 Y 3.38
Tl 0.5000 0.0000 0.1661  2 Pu 3.36, 8 Tl 3.38-3.40, 2 Y 3.38
Tl 0.5000 0.0000 0.5000  8 Tl 3.36-3.38, 4 Pu 3.40
Tl 0.5000 0.0000 0.8339  2 Pu 3.36, 8 Tl 3.38-3.40, 2 Y 3.38
Tl 0.5000 0.5000 0.0000  8 Tl 3.38, 4 Y 3.38
Tl 0.5000 0.5000 0.3351  8 Tl 3.36-3.40, 4 Pu 3.38
Tl 0.5000 0.5000 0.6649  8 Tl 3.36-3.40, 4 Pu 3.38

Properties
Its space group is No. 123. For the formation energy, the calculation gives -123 kJ/mol of formula units. As for the density of states at the Fermi level: 29.6 states/eV per cell. The calculation puts the volume at 27.3 Å³ per atom.

---

The following is a PBE-GGA calculation of an optimized crystal structure of EuTm2Tc, from the Alexandria database.

a b c (Å): 3.4591 3.4591 9.1628
angles (deg): 90.00 90.00 90.00
With the nearest neighbours (Å) after each atom.
Fractional positions:
Eu 0.0000 0.0000 0.0000  4 Eu 3.46, 8 Tm 3.86
Tm 0.5000 0.5000 0.3260  4 Tc 2.92, 1 Tm 3.19
Tm 0.5000 0.5000 0.6740  4 Tc 2.92, 1 Tm 3.19
Tc 0.0000 0.0000 0.5000  8 Tm 2.92

Properties
Its space group is No. 123. For the formation energy, the calculation gives -14 kJ/mol of formula units. As for the density of states at the Fermi level: 5.2 states/eV per cell. The calculation puts the volume at 27.4 Å³ per atom.